1.
PBE-GGA CsBr, optimized geometry; formation energy (no corrections) = -3.6 eV per formula unit; density = 3.53 Mg/m³; E_tot = -6.10 eV per cell
1.0
0.000 3.686 3.686
3.686 0.000 3.686
3.686 3.686 0.000
Cs Br
1 1
direct
0.000 0.000 0.000
0.500 0.500 0.500

***

2.
PBE-GGA CsBr, optimized geometry; formation energy (no corrections) = -3.5 eV per formula unit; density = 2.57 Mg/m³; E_tot = -24.00 eV per cell
1.0
-6.149 6.149 3.639
6.149 -6.149 3.639
6.149 6.149 -3.639
Cs Br
4 4
direct
0.147 0.647 0.794
0.353 0.147 0.500
0.647 0.853 0.500
0.853 0.353 0.206
0.147 0.353 0.500
0.353 0.853 0.206
0.647 0.147 0.794
0.853 0.647 0.500

***

3.
PBE-GGA CsBr, optimized geometry; formation energy (no corrections) = -3.5 eV per formula unit; density = 3.54 Mg/m³; E_tot = -12.13 eV per cell
1.0
2.562 -4.430 0.000
2.562 4.430 0.000
0.000 0.000 8.793
Cs Br
2 2
direct
0.167 0.833 0.750
0.833 0.167 0.250
0.500 0.500 0.000
0.500 0.500 0.500

***

4.
PBE-GGA CsBr, optimized geometry; formation energy (no corrections) = -3.5 eV per formula unit; density = 3.53 Mg/m³; E_tot = -24.20 eV per cell
1.0
8.972 0.000 0.000
0.000 5.078 0.000
0.000 0.000 8.779
Cs Br
4 4
direct
0.000 0.250 0.250
0.000 0.750 0.750
0.500 0.250 0.250
0.500 0.750 0.750
0.250 0.250 0.584
0.250 0.750 0.084
0.750 0.250 0.916
0.750 0.750 0.416

***

5.
PBE-GGA CsBr2, optimized geometry; formation energy (no corrections) = -3.6 eV per formula unit; energy relative to the lowest polymorph listed for this composition = 33 meV per atom; density = 3.51 Mg/m³; E_tot = -7.81 eV per cell
1.0
2.913 -4.791 0.000
2.913 4.791 0.000
0.000 0.000 4.966
Cs Br
1 2
direct
0.000 0.000 0.000
0.000 0.500 0.500
0.500 0.000 0.500

***

6.
PBE-GGA CsBr, optimized geometry; formation energy (no corrections) = -3.5 eV per formula unit; density = 3.54 Mg/m³; E_tot = -12.11 eV per cell
1.0
2.550 1.473 8.860
-2.550 1.473 8.860
0.000 -2.945 8.860
Cs Br
2 2
direct
0.000 0.000 0.000
0.169 0.169 0.169
0.584 0.584 0.584
0.752 0.752 0.752

***

7.
PBE-GGA CsBr, optimized geometry; formation energy (no corrections) = -3.5 eV per formula unit; density = 2.88 Mg/m³; E_tot = -12.04 eV per cell
1.0
6.230 0.000 0.000
-3.115 5.396 0.000
0.000 0.000 7.292
Cs Br
2 2
direct
0.333 0.667 0.250
0.667 0.333 0.750
0.333 0.667 0.750
0.667 0.333 0.250

***

8.
PBE-GGA CsBr2, optimized geometry; formation energy (no corrections) = -3.6 eV per formula unit; energy relative to the lowest polymorph listed for this composition = 31 meV per atom; density = 3.41 Mg/m³; E_tot = -15.62 eV per cell
1.0
4.914 -2.760 0.000
4.914 2.760 0.000
-2.818 0.000 10.499
Cs Br
2 4
direct
0.120 0.120 0.320
0.880 0.880 0.680
0.256 0.256 0.842
0.500 0.500 0.000
0.500 0.500 0.500
0.744 0.744 0.158

***

9.
PBE-GGA CsBr, optimized geometry; formation energy (no corrections) = -3.4 eV per formula unit; density = 2.04 Mg/m³; E_tot = -23.53 eV per cell
1.0
-5.570 5.570 5.570
5.570 -5.570 5.570
5.570 5.570 -5.570
Cs Br
4 4
direct
0.000 0.000 0.320
0.000 0.320 0.000
0.320 0.000 0.000
0.680 0.680 0.680
0.000 0.000 0.681
0.000 0.681 0.000
0.319 0.319 0.319
0.681 0.000 0.000

***

10.
PBE-GGA CsBr3, optimized geometry; formation energy (no corrections) = -3.8 eV per formula unit; density = 3.57 Mg/m³; E_tot = -38.86 eV per cell
1.0
10.275 0.000 0.000
0.000 6.867 0.000
0.000 0.000 9.820
Cs Br
4 12
direct
0.190 0.250 0.039
0.310 0.750 0.539
0.690 0.250 0.461
0.810 0.750 0.961
0.052 0.750 0.260
0.130 0.250 0.567
0.176 0.750 0.888
0.324 0.250 0.388
0.370 0.750 0.067
0.448 0.250 0.760
0.552 0.750 0.240
0.630 0.250 0.933
0.676 0.750 0.612
0.824 0.250 0.112
0.870 0.750 0.433
0.948 0.250 0.740

***

11.
PBE-GGA CsBr2, optimized geometry; formation energy (no corrections) = -3.2 eV per formula unit; energy relative to the lowest polymorph listed for this composition = 184 meV per atom; density = 3.56 Mg/m³; E_tot = -7.35 eV per cell
1.0
-2.504 2.504 5.440
2.504 -2.504 5.440
2.504 2.504 -5.440
Cs Br
1 2
direct
0.000 0.000 0.000
0.368 0.368 0.000
0.632 0.632 0.000

***

12.
PBE-GGA CsBr3, optimized geometry; formation energy (no corrections) = -2.6 eV per formula unit; density = 3.24 Mg/m³; E_tot = -16.89 eV per cell
1.0
-3.164 3.164 9.549
3.164 -3.164 9.549
3.164 3.164 -9.549
Cs Br
2 6
direct
0.000 0.000 0.000
0.750 0.250 0.500
0.239 0.625 0.114
0.250 0.750 0.500
0.375 0.489 0.614
0.500 0.500 0.000
0.511 0.125 0.886
0.875 0.761 0.386

***

13.
PBE-GGA CsBr2, optimized geometry; formation energy (no corrections) = -2.6 eV per formula unit; energy relative to the lowest polymorph listed for this composition = 357 meV per atom; density = 4.18 Mg/m³; E_tot = -13.67 eV per cell
1.0
0.000 4.879 4.879
4.879 0.000 4.879
4.879 4.879 0.000
Cs Br
2 4
direct
0.125 0.125 0.125
0.875 0.875 0.875
0.000 0.500 0.500
0.500 0.000 0.500
0.500 0.500 0.000
0.500 0.500 0.500

***

14.
PBE-GGA CsBr, optimized geometry; formation energy (no corrections) = -3.5 eV per formula unit; density = 4.20 Mg/m³; E_tot = -6.02 eV per cell
1.0
4.382 0.000 0.000
0.000 4.382 0.000
0.000 0.000 4.382
Cs Br
1 1
direct
0.000 0.000 0.000
0.500 0.500 0.500

***

15.
PBE-GGA CsBr3, optimized geometry; formation energy (no corrections) = -3.4 eV per formula unit; density = 3.06 Mg/m³; E_tot = -9.25 eV per cell
1.0
-2.620 2.620 7.365
2.620 -2.620 7.365
2.620 2.620 -7.365
Cs Br
1 3
direct
0.000 0.000 0.000
0.325 0.325 0.000
0.500 0.500 0.000
0.675 0.675 0.000

***

16.
PBE-GGA CsBr, optimized geometry; formation energy (no corrections) = -3.4 eV per formula unit; density = 2.12 Mg/m³; E_tot = -35.43 eV per cell
1.0
9.998 0.000 0.000
0.000 9.998 0.000
0.000 0.000 9.998
Cs Br
6 6
direct
0.000 0.250 0.500
0.000 0.750 0.500
0.250 0.500 0.000
0.500 0.000 0.250
0.500 0.000 0.750
0.750 0.500 0.000
0.000 0.500 0.250
0.000 0.500 0.750
0.250 0.000 0.500
0.500 0.250 0.000
0.500 0.750 0.000
0.750 0.000 0.500

***

17.
PBE-GGA CsBr2, optimized geometry; formation energy (no corrections) = -3.6 eV per formula unit; energy relative to the lowest polymorph listed for this composition = 24 meV per atom; density = 3.51 Mg/m³; E_tot = -7.83 eV per cell
1.0
-3.443 3.443 2.918
3.443 -3.443 2.918
3.443 3.443 -2.918
Cs Br
1 2
direct
0.000 0.000 0.000
0.250 0.750 0.500
0.750 0.250 0.500

***

18.
PBE-GGA Cs4Br3, optimized geometry; formation energy (no corrections) = -10.1 eV per formula unit; density = 3.71 Mg/m³; E_tot = -18.52 eV per cell
1.0
3.119 1.801 10.233
-3.119 1.801 10.233
0.000 -3.602 10.233
Cs Br
4 3
direct
0.124 0.124 0.124
0.374 0.374 0.374
0.626 0.626 0.626
0.876 0.876 0.876
0.000 0.000 0.000
0.249 0.249 0.249
0.751 0.751 0.751

***

19.
PBE-GGA CsBr, optimized geometry; formation energy (no corrections) = -3.4 eV per formula unit; density = 2.59 Mg/m³; E_tot = -5.92 eV per cell
1.0
0.000 4.084 4.084
4.084 0.000 4.084
4.084 4.084 0.000
Cs Br
1 1
direct
0.000 0.000 0.000
0.250 0.250 0.250

***

20.
PBE-GGA CsBr2, optimized geometry; formation energy (no corrections) = -3.7 eV per formula unit; energy relative to the lowest polymorph listed for this composition = 1 meV per atom; density = 3.34 Mg/m³; E_tot = -15.80 eV per cell
1.0
5.770 0.000 0.000
1.632 5.559 0.000
0.201 0.107 9.084
Cs Br
2 4
direct
0.212 0.212 0.231
0.788 0.788 0.769
0.174 0.176 0.831
0.402 0.402 0.600
0.598 0.598 0.400
0.826 0.824 0.169